Here is a relaxed structure of KRb2Hg7Pt2 from the Alexandria database. Energies are from GGA-PBE.

a = 5.3924 Å, b = 5.3924 Å, c = 14.8753 Å
α = 100.36°, β = 100.36°, γ = 89.82°
Last column: nearest neighbours and their distance in Å.
Fractional positions:
K  0.0000  0.0000  0.0000  12 Hg 3.79-3.82
Rb  0.1795  0.1795  0.3647  9 Hg 3.65-3.83
Rb  0.8205  0.8205  0.6353  9 Hg 3.65-3.83
Hg  0.0905  0.5908  0.1860  2 Pt 2.70
Hg  0.3126  0.3126  0.6184  1 Pt 2.77
Hg  0.4092  0.9095  0.8140  2 Pt 2.70
Hg  0.5000  0.5000  0.0000  2 Pt 2.72
Hg  0.5908  0.0905  0.1860  2 Pt 2.70
Hg  0.6874  0.6874  0.3816  1 Pt 2.77
Hg  0.9095  0.4092  0.8140  2 Pt 2.70
Pt  0.4079  0.4079  0.8110  6 Hg 2.70-2.77
Pt  0.5921  0.5921  0.1890  6 Hg 2.70-2.77

* Fermi-level density of states: 2.0 states/eV/cell
* VASP energy: -1.690 eV per atom


Here is a relaxed structure of TmTaNiOs from the Alexandria database. Energies are from GGA-PBE.

a = 6.4698 Å, b = 6.4698 Å, c = 6.4698 Å
α = 90.00°, β = 90.00°, γ = 90.00°
Last column: nearest neighbours and their distance in Å.
Fractional positions:
Tm  0.0000  0.0000  0.0000  4 Os 2.80, 4 Ni 2.80
Tm  0.0000  0.5000  0.5000  4 Os 2.80, 4 Ni 2.80
Tm  0.5000  0.0000  0.5000  4 Os 2.80, 4 Ni 2.80
Tm  0.5000  0.5000  0.0000  4 Os 2.80, 4 Ni 2.80
Ta  0.0000  0.0000  0.5000  4 Os 2.80, 4 Ni 2.80
Ta  0.0000  0.5000  0.0000  4 Os 2.80, 4 Ni 2.80
Ta  0.5000  0.0000  0.0000  4 Os 2.80, 4 Ni 2.80
Ta  0.5000  0.5000  0.5000  4 Os 2.80, 4 Ni 2.80
Ni  0.2500  0.2500  0.7500  4 Ta 2.80, 4 Tm 2.80
Ni  0.2500  0.7500  0.2500  4 Ta 2.80, 4 Tm 2.80
Ni  0.7500  0.2500  0.2500  4 Ta 2.80, 4 Tm 2.80
Ni  0.7500  0.7500  0.7500  4 Ta 2.80, 4 Tm 2.80
Os  0.2500  0.2500  0.2500  4 Ta 2.80, 4 Tm 2.80
Os  0.2500  0.7500  0.7500  4 Ta 2.80, 4 Tm 2.80
Os  0.7500  0.2500  0.7500  4 Ta 2.80, 4 Tm 2.80
Os  0.7500  0.7500  0.2500  4 Ta 2.80, 4 Tm 2.80

* Fermi-level density of states: 14.4 states/eV/cell
* VASP energy: -8.569 eV per atom


> Fermi-level density of states of number 2 (TmTaNiOs)?

14.4 states/eV/cell


> Among the records above, which one has the lowest Fermi-level density of states?

KRb2Hg7Pt2